1.
Na3Pa3InN8 | PBE | relaxed

The structure belongs to space group C2/m (No. 12); the cell edges are 12.375, 6.826 and 6.989 Å and the angles 90.00°, 124.25° and 90.00°. The distinct sites, in fractional coordinates, are Na at (0.000, 0.000, 0.000), Na at (0.250, 0.250, 0.000), Pa at (0.000, 0.500, 0.500), Pa at (0.250, 0.250, 0.500), In at (0.000, 0.000, 0.500), N at (0.015, 0.258, 0.309), N at (0.234, 0.500, 0.692) and N at (0.240, 0.000, 0.688).

2.
NaPaInN3 | PBE | relaxed

The structure belongs to space group P2_1/m (No. 11); the cell edges are 7.607, 3.503 and 8.227 Å and the angles 90.00°, 101.33° and 90.00°. The distinct sites, in fractional coordinates, are Na at (0.182, 0.250, 0.070), Pa at (0.154, 0.250, 0.670), In at (0.370, 0.750, 0.385), N at (0.117, 0.750, 0.822), N at (0.129, 0.750, 0.480) and N at (0.493, 0.250, 0.313).

3.
Na3Pa2InN6 | PBE | relaxed

The structure belongs to space group C2/m (No. 12); the cell edges are 6.166, 10.089 and 6.221 Å and the angles 90.00°, 110.95° and 90.00°. The distinct sites, in fractional coordinates, are Na at (0.000, 0.000, 0.000), Na at (0.000, 0.338, 0.000), Pa at (0.000, 0.170, 0.500), In at (0.000, 0.500, 0.500), N at (0.210, 0.000, 0.699) and N at (0.234, 0.325, 0.702).

4.
NaPu4InN8 | PBE | relaxed

The structure belongs to space group R3m (No. 160, hexagonal axes); the cell edges are 6.9191, 6.9191 and 15.1444 Å and the angles 90.00°, 90.00° and 120.00°. The distinct sites, in fractional coordinates, are Na at (0.0000, 0.0000, 0.0000), Pu at (0.0000, 0.0000, 0.5892), Pu at (0.0042, 0.5021, 0.4944), In at (0.0000, 0.0000, 0.3740), N at (0.0000, 0.0000, 0.2323), N at (0.0000, 0.0000, 0.7510), N at (0.0056, 0.5028, 0.7692) and N at (0.1829, 0.3659, 0.5657).

5.
NaInSN2 | PBE | relaxed

The structure belongs to space group P4/mmm (No. 123); the cell edges are 4.381, 4.381 and 5.999 Å and the angles 90.00°, 90.00° and 90.00°. The distinct sites, in fractional coordinates, are Na at (0.000, 0.000, 0.000), In at (0.000, 0.000, 0.500), S at (0.500, 0.500, 0.500) and N at (0.000, 0.500, 0.000).

For the offset from the most stable computed form, the calculation gives 0.860 eV per atom.

6.
NaInSN2 | PBE | relaxed

The structure belongs to space group P4/mmm (No. 123); the cell edges are 4.397, 4.397 and 5.352 Å and the angles 90.00°, 90.00° and 90.00°. The distinct sites, in fractional coordinates, are Na at (0.000, 0.000, 0.000), In at (0.500, 0.500, 0.500), S at (0.000, 0.000, 0.500) and N at (0.000, 0.500, 0.000).

For the offset from the most stable computed form, the calculation gives 0.675 eV per atom.

no.,formation energy from raw total energies (eV/atom),theoretical density (g/cm³),size of the total moment (μB per cell)
1,-0.606,6.730,2.6
2,-0.477,6.347,0.0
3,-0.590,6.707,0.0
4,-0.620,9.726,36.0
5,1.842,2.854,5.2
6,1.657,3.175,5.0